# GGA-PBE Rb3U3AlS8, relaxed
data_Rb3U3AlS8
_chemical_formula_sum 'Rb9 U9 Al3 S24'
_symmetry_space_group_name_H-M 'R -3 m'
_symmetry_Int_Tables_number 166
_symmetry_space_group_name_Hall '-R 3 2"'
_cell_length_a 7.9335
_cell_length_b 7.9335
_cell_length_c 23.5740
_cell_angle_alpha 90.00
_cell_angle_beta 90.00
_cell_angle_gamma 120.00
loop_
_atom_site_label
_atom_site_fract_x
_atom_site_fract_y
_atom_site_fract_z
Rb1 0.0000 0.5000 0.0000
U1 0.0000 0.5000 0.5000
Al1 0.0000 0.0000 0.5000
S1 0.0000 0.0000 0.2319
S2 0.0254 0.5127 0.2253
# Formation energy (no corrections) (eV per atom): -1.290



# GGA-PBE Tb4HgPt, relaxed
data_Tb4HgPt
_chemical_formula_sum 'Tb8 Hg2 Pt2'
_symmetry_space_group_name_H-M 'P 1 21/c 1'
_symmetry_Int_Tables_number 14
_cell_length_a 7.2493
_cell_length_b 7.1437
_cell_length_c 7.0657
_cell_angle_alpha 90.00
_cell_angle_beta 93.10
_cell_angle_gamma 90.00
loop_
_symmetry_equiv_pos_as_xyz
'x,y,z'
'-x,-y,-z'
'-x,y+1/2,-z+1/2'
'x,-y+1/2,z+1/2'
loop_
_atom_site_label
_atom_site_fract_x
_atom_site_fract_y
_atom_site_fract_z
Tb1 0.1464 0.1595 0.1748
Tb2 0.3292 0.6478 0.1289
Hg1 0.5000 0.0000 0.0000
Pt1 0.0000 0.0000 0.5000
# E above lowest polymorph (meV/atom): 198



# GGA-PBE ScAl2Sb, relaxed
data_ScAl2Sb
_chemical_formula_sum 'Sc4 Al8 Sb4'
_symmetry_space_group_name_H-M 'I -4 2 d'
_symmetry_Int_Tables_number 122
_symmetry_space_group_name_Hall 'I -4 2bw'
_cell_length_a 7.9222
_cell_length_b 7.9222
_cell_length_c 5.7789
_cell_angle_alpha 90.00
_cell_angle_beta 90.00
_cell_angle_gamma 90.00
loop_
_atom_site_label
_atom_site_fract_x
_atom_site_fract_y
_atom_site_fract_z
Sc1 0.0000 0.0000 0.0000
Al1 0.2316 0.2500 0.6250
Sb1 0.0000 0.0000 0.5000
# Formation energy (no corrections) (eV per atom): -0.064



# GGA-PBE SiSe2BrN, relaxed
data_SiSe2BrN
_chemical_formula_sum 'Si1 Se2 Br1 N1'
_symmetry_space_group_name_H-M 'P 4/m m m'
_symmetry_Int_Tables_number 123
_symmetry_space_group_name_Hall '-P 4 2'
_cell_length_a 4.5157
_cell_length_b 4.5157
_cell_length_c 4.5306
_cell_angle_alpha 90.00
_cell_angle_beta 90.00
_cell_angle_gamma 90.00
loop_
_atom_site_label
_atom_site_fract_x
_atom_site_fract_y
_atom_site_fract_z
Si1 0.0000 0.0000 0.0000
Se1 0.0000 0.5000 0.5000
Br1 0.5000 0.5000 0.0000
N1 0.5000 0.5000 0.5000
# Formation energy (no corrections) (eV per atom): 1.063
# E above lowest polymorph (meV/atom): 605



# GGA-PBE Ac2ZnCu3, relaxed
data_Ac2ZnCu3
_chemical_formula_sum 'Ac16 Zn8 Cu24'
_symmetry_space_group_name_H-M 'F m m m'
_symmetry_Int_Tables_number 69
_symmetry_space_group_name_Hall '-F 2 2'
_cell_length_a 8.2467
_cell_length_b 8.9343
_cell_length_c 15.3092
_cell_angle_alpha 90.00
_cell_angle_beta 90.00
_cell_angle_gamma 90.00
loop_
_atom_site_label
_atom_site_fract_x
_atom_site_fract_y
_atom_site_fract_z
Ac1 0.2441 0.0000 0.0000
Ac2 0.2500 0.2500 0.2500
Zn1 0.0000 0.0000 0.3336
Cu1 0.0000 0.0000 0.1658
Cu2 0.0000 0.2498 0.0831
# DFT total energy (eV per atom): -3.8564



# GGA-PBE Rh2ClF, relaxed
data_Rh2ClF
_chemical_formula_sum 'Rh8 Cl4 F4'
_symmetry_space_group_name_H-M 'I -4 2 d'
_symmetry_Int_Tables_number 122
_symmetry_space_group_name_Hall 'I -4 2bw'
_cell_length_a 6.3800
_cell_length_b 6.3800
_cell_length_c 5.7441
_cell_angle_alpha 90.00
_cell_angle_beta 90.00
_cell_angle_gamma 90.00
loop_
_atom_site_label
_atom_site_fract_x
_atom_site_fract_y
_atom_site_fract_z
Rh1 0.2476 0.2500 0.1250
Cl1 0.0000 0.0000 0.0000
F1 0.0000 0.0000 0.5000
# Formation energy (no corrections) (eV per atom): 0.168
# E above lowest polymorph (meV/atom): 0



Listing magnetic moment for the structures above in their given order: 0.529, 0.000, 0.000, 0.000, 0.000, 0.217 μB/atom.